First-principles (GGA-PBE) data for a geometry-optimized Sr8SiN2 structure, as listed in the Alexandria database.

Lattice parameters (Å, degrees): 7.1032 8.9799 8.9799 58.24 85.00 85.00
Last column: nearest neighbours and their distance in Å.
Fractional coordinates of all 11 atoms:
N: 0.6181 0.8238 0.8238  4 Sr 2.34-2.41
Sr: 0.2794 0.8319 0.8319  1 N 2.40
Sr: 0.2560 0.8903 0.3113  1 N 2.41
Si: 0.0000 0.0000 0.0000  6 Sr 3.12-3.14
Sr: 0.2514 0.3190 0.3190  1 N 2.34
Sr: 0.2560 0.3113 0.8903  1 N 2.41
Sr: 0.7440 0.6887 0.1097  1 N 2.41
Sr: 0.7440 0.1097 0.6887  1 N 2.41
Sr: 0.7486 0.6810 0.6810  1 N 2.34
Sr: 0.7206 0.1681 0.1681  1 N 2.40
N: 0.3819 0.1762 0.1762  4 Sr 2.34-2.41

Properties
DFT total energy: -0.129 Ha/atom
space-group type: No. 12